Entry 1:
# Na2NiH12S2O14, relaxed, DFT PBEsol
data_Na2NiH12S2O14
_cell_length_a 5.857
_cell_length_b 11.986
_cell_length_c 8.567
_cell_angle_alpha 90.00
_cell_angle_beta 104.46
_cell_angle_gamma 90.00
_space_group_name_H-M_alt 'P 1 21/c 1'
_space_group_IT_number 14
loop_
_space_group_symop_operation_xyz
'x,y,z'
'-x,-y,-z'
'-x,y+1/2,-z+1/2'
'x,-y+1/2,z+1/2'
loop_
_atom_site_label
_atom_site_type_symbol
_atom_site_fract_x
_atom_site_fract_y
_atom_site_fract_z
Na1 Na 0.166 0.147 0.334
Ni1 Ni 0.500 0.000 0.000
H1 H 0.157 0.560 0.610
H2 H 0.164 0.646 0.463
H3 H 0.166 0.078 0.773
H4 H 0.403 0.118 0.730
H5 H 0.410 0.617 0.237
H6 H 0.468 0.197 0.117
S1 S 0.228 0.641 0.921
O1 O 0.092 0.743 0.862
O2 O 0.139 0.549 0.804
O3 O 0.192 0.567 0.502
O4 O 0.195 0.610 0.081
O5 O 0.328 0.107 0.821
O6 O 0.450 0.123 0.165
O7 O 0.485 0.661 0.932
# * electronic total energy: -5.487 eV/atom
# * total moment: 4.133 Bohr magnetons per cell

Entry 2:
# SiP2O2, relaxed, DFT PBEsol
data_SiP2O2
_cell_length_a 4.535
_cell_length_b 4.535
_cell_length_c 3.229
_cell_angle_alpha 90.00
_cell_angle_beta 90.00
_cell_angle_gamma 90.00
_space_group_name_H-M_alt 'P 4/m m m'
_space_group_IT_number 123
_space_group_name_Hall '-P 4 2'
loop_
_atom_site_label
_atom_site_type_symbol
_atom_site_fract_x
_atom_site_fract_y
_atom_site_fract_z
Si1 Si 0.000 0.000 0.000
P1 P 0.000 0.500 0.000
O1 O 0.000 0.000 0.500
O2 O 0.500 0.500 0.500
# * DOS(E_F): 2.00 states/eV per cell
# * electronic total energy: -5.384 eV/atom
# * total moment: 0.000 Bohr magnetons per cell
# * energy above the lowest structure with this stoichiometry: 694 meV/atom
# * E_form (uncorrected): 0.18 eV per atom

Entry 3:
# SrLa2Sn2, relaxed, DFT PBEsol
data_SrLa2Sn2
_cell_length_a 9.188
_cell_length_b 9.188
_cell_length_c 3.880
_cell_angle_alpha 90.00
_cell_angle_beta 90.00
_cell_angle_gamma 90.00
_space_group_name_H-M_alt 'P 4/m b m'
_space_group_IT_number 127
_space_group_name_Hall '-P 4 2ab'
loop_
_atom_site_label
_atom_site_type_symbol
_atom_site_fract_x
_atom_site_fract_y
_atom_site_fract_z
Sr1 Sr 0.000 0.000 0.000
La1 La 0.132 0.368 0.500
Sn1 Sn 0.166 0.666 0.000
# * DOS(E_F): 6.48 states/eV per cell
# * energy of formation: -674.1 meV/atom
# * electronic total energy: -4.884 eV/atom
# * total moment: 0.000 Bohr magnetons per cell
# * energy above the lowest structure with this stoichiometry: 0 meV/atom

Entry 4:
# InGaAg2S4, relaxed, DFT PBEsol
data_InGaAg2S4
_cell_length_a 5.716
_cell_length_b 5.716
_cell_length_c 10.901
_cell_angle_alpha 90.00
_cell_angle_beta 90.00
_cell_angle_gamma 90.00
_space_group_name_H-M_alt 'I -4'
_space_group_IT_number 82
loop_
_space_group_symop_operation_xyz
'x,y,z'
'y,-x,-z'
'-x,-y,z'
'-y,x,-z'
'x+1/2,y+1/2,z+1/2'
'y+1/2,-x+1/2,-z+1/2'
'-x+1/2,-y+1/2,z+1/2'
'-y+1/2,x+1/2,-z+1/2'
loop_
_atom_site_label
_atom_site_type_symbol
_atom_site_fract_x
_atom_site_fract_y
_atom_site_fract_z
In1 In 0.000 0.000 0.000
Ga1 Ga 0.000 0.500 0.250
Ag1 Ag 0.000 0.000 0.500
Ag2 Ag 0.000 0.500 0.750
S1 S 0.232 0.735 0.132
# * electronic total energy: -4.280 eV/atom
# * total moment: 0.000 Bohr magnetons per cell
# * E_form (uncorrected): -0.47 eV per atom

Entry 5:
# LaTaAgBi2, relaxed, DFT PBEsol
data_LaTaAgBi2
_cell_length_a 5.300
_cell_length_b 5.300
_cell_length_c 5.484
_cell_angle_alpha 90.00
_cell_angle_beta 90.00
_cell_angle_gamma 90.00
_space_group_name_H-M_alt 'P 4/m m m'
_space_group_IT_number 123
_space_group_name_Hall '-P 4 2'
loop_
_atom_site_label
_atom_site_type_symbol
_atom_site_fract_x
_atom_site_fract_y
_atom_site_fract_z
La1 La 0.000 0.000 0.000
Ta1 Ta 0.500 0.500 0.000
Ag1 Ag 0.000 0.000 0.500
Bi1 Bi 0.000 0.500 0.500
# * DOS(E_F): 5.23 states/eV per cell
# * energy of formation: 1055.5 meV/atom
# * electronic total energy: -4.900 eV/atom
# * total moment: 2.671 Bohr magnetons per cell

Entry 6:
# YAlHg2, relaxed, DFT PBEsol
data_YAlHg2
_cell_length_a 4.614
_cell_length_b 4.614
_cell_length_c 8.041
_cell_angle_alpha 90.00
_cell_angle_beta 90.00
_cell_angle_gamma 90.00
_space_group_name_H-M_alt 'I 4/m m m'
_space_group_IT_number 139
_space_group_name_Hall '-I 4 2'
loop_
_atom_site_label
_atom_site_type_symbol
_atom_site_fract_x
_atom_site_fract_y
_atom_site_fract_z
Y1 Y 0.000 0.000 0.000
Al1 Al 0.000 0.000 0.500
Hg1 Hg 0.000 0.500 0.250
# * DOS(E_F): 2.74 states/eV per cell
# * energy of formation: -397.8 meV/atom
# * electronic total energy: -3.410 eV/atom
# * total moment: 0.000 Bohr magnetons per cell

Entry 7:
# TcAsRh, relaxed, DFT PBEsol
data_TcAsRh
_cell_length_a 4.1736
_cell_length_b 4.1736
_cell_length_c 2.8191
_cell_angle_alpha 90.00
_cell_angle_beta 90.00
_cell_angle_gamma 120.00
_space_group_name_H-M_alt 'P 3 m 1'
_space_group_IT_number 156
loop_
_space_group_symop_operation_xyz
'x,y,z'
'-y,x-y,z'
'-x+y,-x,z'
'-y,-x,z'
'-x+y,y,z'
'x,x-y,z'
loop_
_atom_site_label
_atom_site_type_symbol
_atom_site_fract_x
_atom_site_fract_y
_atom_site_fract_z
Tc1 Tc 0.0000 0.0000 0.0000
As1 As 0.3333 0.6667 0.2275
Rh1 Rh 0.6667 0.3333 0.5023
# * DOS(E_F): 4.02 states/eV per cell
# * energy of formation: -25.9 meV/atom
# * electronic total energy: -8.196 eV/atom
# * total moment: 0.015 Bohr magnetons per cell
# * energy above the lowest structure with this stoichiometry: 0 meV/atom

Entry 8:
# Mg30CrNiO32, relaxed, DFT PBEsol
data_Mg30CrNiO32
_cell_length_a 8.406
_cell_length_b 8.406
_cell_length_c 8.495
_cell_angle_alpha 90.00
_cell_angle_beta 90.00
_cell_angle_gamma 90.00
_space_group_name_H-M_alt 'P 4/m m m'
_space_group_IT_number 123
_space_group_name_Hall '-P 4 2'
loop_
_atom_site_label
_atom_site_type_symbol
_atom_site_fract_x
_atom_site_fract_y
_atom_site_fract_z
Mg1 Mg 0.000 0.000 0.000
Mg2 Mg 0.000 0.000 0.500
Mg3 Mg 0.000 0.251 0.249
Mg4 Mg 0.000 0.500 0.000
Mg5 Mg 0.000 0.500 0.500
Mg6 Mg 0.250 0.250 0.500
Mg7 Mg 0.252 0.252 0.000
Mg8 Mg 0.253 0.500 0.247
Cr1 Cr 0.500 0.500 0.500
Ni1 Ni 0.500 0.500 0.000
O1 O 0.000 0.000 0.251
O2 O 0.000 0.250 0.000
O3 O 0.000 0.251 0.500
O4 O 0.000 0.500 0.252
O5 O 0.247 0.500 0.000
O6 O 0.251 0.251 0.250
O7 O 0.254 0.500 0.500
O8 O 0.500 0.500 0.270
# * DOS(E_F): 4.03 states/eV per cell
# * electronic total energy: -6.317 eV/atom
# * total moment: 4.203 Bohr magnetons per cell
# * E_form (uncorrected): -2.63 eV per atom

> Among the records above, which one has the highest total moment?

Mg30CrNiO32

> Which formula does entry 6 have?

YAlHg2